No. 1
The following is a DFT calculation (GGA-PBE) of crystalline TaSnBiRh2 at its relaxed geometry.

The structure in POSCAR format:
```
TaSnBiRh2
1.0
-4.642 -0.831 -1.170
-0.247 -4.016 3.831
-1.419 3.253 3.318
Rh Bi Sn Ta
2 1 1 1
direct
0.000 0.000 0.500
0.500 0.000 0.000
0.000 0.000 0.000
0.000 0.500 0.000
0.500 0.500 0.500
```

Values from the calculation:
**Total magnetic moment**: 0.02 μB per cell
**DOS at the Fermi energy**: 2.0305 states/eV/atom
**Density**: 9.045 g/cm3
**Total DFT energy (no corrections)**: -5.169 eV/atom

No. 2
The following is a DFT calculation (GGA-PBE) of crystalline TaSnBi2Rh at its relaxed geometry.

The structure in POSCAR format:
```
TaSnBi2Rh
1.0
5.533 0.000 0.000
0.000 4.814 0.000
0.000 0.000 5.533
Rh Bi Sn Ta
1 2 1 1
direct
0.000 0.500 0.000
0.000 0.000 0.500
0.500 0.000 0.000
0.500 0.500 0.500
0.000 0.000 0.000
```

Values from the calculation:
**Total magnetic moment**: 0.00 μB per cell
**DOS at the Fermi energy**: 0.7963 states/eV/atom
**Density**: 9.247 g/cm3
**Total DFT energy (no corrections)**: -5.463 eV/atom

No. 3
The following is a DFT calculation (GGA-PBE) of crystalline Y2SnBiRh at its relaxed geometry.

The structure in POSCAR format:
```
Y2SnBiRh
1.0
-3.671 2.081 -3.875
-3.332 -3.470 1.293
-2.159 3.545 3.949
Y Rh Bi Sn
2 1 1 1
direct
0.000 0.000 0.500
0.500 0.000 0.000
0.000 0.500 0.000
0.000 0.000 0.000
0.500 0.500 0.500
```

Values from the calculation:
**Total magnetic moment**: 0.00 μB per cell
**DOS at the Fermi energy**: 1.2961 states/eV/atom
**Density**: 6.180 g/cm3
**Total DFT energy (no corrections)**: -5.382 eV/atom

No. 4
The following is a DFT calculation (GGA-PBE) of crystalline SrBi2Rh3 at its relaxed geometry.

The structure in POSCAR format:
```
SrBi2Rh3
1.0
4.370 0.000 0.000
-2.185 8.569 -2.643
0.000 0.110 10.597
Sr Bi Rh
3 6 9
direct
0.168 0.336 0.714
0.832 0.664 0.286
0.000 0.000 0.000
0.189 0.379 0.123
0.811 0.621 0.877
0.463 0.925 0.222
0.537 0.075 0.778
0.359 0.718 0.536
0.641 0.282 0.464
0.045 0.090 0.334
0.955 0.910 0.666
0.211 0.423 0.392
0.789 0.577 0.608
0.620 0.240 0.206
0.380 0.760 0.794
0.500 0.000 0.500
0.318 0.637 0.036
0.682 0.363 0.964
```

Values from the calculation:
**Total magnetic moment**: 0.00 μB per cell
**DOS at the Fermi energy**: 0.5768 states/eV/atom
**Density**: 10.189 g/cm3
**Total DFT energy (no corrections)**: -5.557 eV/atom

No. 5
The following is a DFT calculation (GGA-PBE) of crystalline SrBi2Rh2 at its relaxed geometry.

The structure in POSCAR format:
```
SrBi2Rh2
1.0
4.954 0.000 0.000
0.000 4.954 0.000
2.477 2.477 5.110
Sr Rh Bi
1 2 2
direct
0.000 0.000 0.000
0.371 0.371 0.258
0.629 0.629 0.742
0.750 0.250 0.500
0.250 0.750 0.500
```

Values from the calculation:
**Total magnetic moment**: 0.00 μB per cell
**DOS at the Fermi energy**: 0.5263 states/eV/atom
**Density**: 9.417 g/cm3
**Total DFT energy (no corrections)**: -5.149 eV/atom

No. 6
The following is a DFT calculation (GGA-PBE) of crystalline Sr3BiRh at its relaxed geometry.

The structure in POSCAR format:
```
Sr3BiRh
1.0
5.686 0.000 0.000
0.000 5.686 0.000
0.000 0.000 5.686
Sr Rh Bi
3 1 1
direct
0.000 0.500 0.000
0.000 0.000 0.500
0.500 0.000 0.000
0.000 0.000 0.000
0.500 0.500 0.500
```

Values from the calculation:
**Total magnetic moment**: 0.00 μB per cell
**DOS at the Fermi energy**: 0.0593 states/eV/atom
**Density**: 5.192 g/cm3
**Total DFT energy (no corrections)**: -3.702 eV/atom

No. 7
The following is a DFT calculation (GGA-PBE) of crystalline Sr2BiRh2 at its relaxed geometry.

The structure in POSCAR format:
```
Sr2BiRh2
1.0
7.351 0.000 0.000
0.000 7.351 0.000
0.000 0.000 4.702
Sr Rh Bi
4 4 2
direct
0.176 0.676 0.500
0.676 0.824 0.500
0.824 0.324 0.500
0.324 0.176 0.500
0.374 0.874 0.000
0.874 0.626 0.000
0.626 0.126 0.000
0.126 0.374 0.000
0.000 0.000 0.000
0.500 0.500 0.000
```

Values from the calculation:
**Total magnetic moment**: 0.00 μB per cell
**DOS at the Fermi energy**: 0.8937 states/eV/atom
**Density**: 7.712 g/cm3
**Total DFT energy (no corrections)**: -4.751 eV/atom

No. 8
The following is a DFT calculation (GGA-PBE) of crystalline SrBi3Rh5 at its relaxed geometry.

The structure in POSCAR format:
```
SrBi3Rh5
1.0
-0.372 3.427 -2.613
-2.255 -5.898 -3.834
-12.014 1.879 4.176
Sr Bi Rh
2 6 10
direct
0.766 0.532 0.750
0.234 0.468 0.250
0.377 0.755 0.935
0.928 0.856 0.250
0.377 0.755 0.565
0.623 0.245 0.435
0.072 0.144 0.750
0.623 0.245 0.065
0.811 0.622 0.436
0.189 0.378 0.936
0.000 0.000 0.500
0.000 0.000 0.000
0.438 0.876 0.129
0.562 0.124 0.871
0.562 0.124 0.629
0.811 0.622 0.064
0.189 0.378 0.564
0.438 0.876 0.371
```

Values from the calculation:
**Total magnetic moment**: 0.00 μB per cell
**DOS at the Fermi energy**: 0.5931 states/eV/atom
**Density**: 10.392 g/cm3
**Total DFT energy (no corrections)**: -5.776 eV/atom

No. 9
The following is a DFT calculation (GGA-PBE) of crystalline SrBi2Rh2 at its relaxed geometry.

The structure in POSCAR format:
```
SrBi2Rh2
1.0
6.220 0.000 0.004
3.110 5.774 0.002
3.110 0.001 7.237
Sr Bi Rh
2 4 4
direct
0.875 0.750 0.250
0.125 0.250 0.750
0.570 0.360 0.250
0.820 0.860 0.750
0.180 0.140 0.250
0.430 0.640 0.750
0.476 0.750 0.050
0.726 0.250 0.550
0.524 0.250 0.950
0.274 0.750 0.450
```

Values from the calculation:
**Total magnetic moment**: 0.00 μB per cell
**DOS at the Fermi energy**: 0.6701 states/eV/atom
**Density**: 9.092 g/cm3
**Total DFT energy (no corrections)**: -5.202 eV/atom

No. 10
The following is a DFT calculation (GGA-PBE) of crystalline SrBi2Rh2 at its relaxed geometry.

The structure in POSCAR format:
```
SrBi2Rh2
1.0
-5.215 4.471 4.291
-5.652 -5.731 -0.897
1.115 -1.568 2.989
Sr Rh Bi
2 4 4
direct
0.000 0.000 0.000
0.500 0.500 0.000
0.372 0.872 0.000
0.872 0.628 0.000
0.628 0.128 0.000
0.128 0.372 0.000
0.153 0.653 0.500
0.653 0.847 0.500
0.847 0.347 0.500
0.347 0.153 0.500
```

Values from the calculation:
**Total magnetic moment**: 0.00 μB per cell
**DOS at the Fermi energy**: 0.3734 states/eV/atom
**Density**: 10.130 g/cm3
**Total DFT energy (no corrections)**: -5.069 eV/atom

No. 11
The following is a DFT calculation (GGA-PBE) of crystalline Sr3Bi3Rh2 at its relaxed geometry.

The structure in POSCAR format:
```
Sr3Bi3Rh2
1.0
-0.263 2.032 4.323
-1.164 -6.288 0.239
15.817 -2.841 2.297
Sr Bi Rh
6 6 4
direct
0.923 0.846 0.390
0.077 0.154 0.890
0.923 0.846 0.110
0.077 0.154 0.610
0.640 0.281 0.250
0.360 0.719 0.750
0.640 0.280 0.465
0.360 0.720 0.965
0.640 0.280 0.035
0.360 0.720 0.535
0.338 0.677 0.250
0.662 0.323 0.750
0.792 0.583 0.898
0.208 0.417 0.398
0.792 0.583 0.602
0.208 0.417 0.102
```

Values from the calculation:
**Total magnetic moment**: 0.00 μB per cell
**DOS at the Fermi energy**: 0.5903 states/eV/atom
**Density**: 7.894 g/cm3
**Total DFT energy (no corrections)**: -4.549 eV/atom

No. 12
The following is a DFT calculation (GGA-PBE) of crystalline SrBiRh2 at its relaxed geometry.

The structure in POSCAR format:
```
SrBiRh2
1.0
-2.698 -5.794 4.281
5.833 0.926 4.929
-0.256 -0.287 6.361
Sr Rh Bi
2 4 2
direct
0.500 0.500 0.000
0.250 0.750 0.500
0.670 0.125 0.250
0.080 0.625 0.250
0.375 0.330 0.750
0.875 0.920 0.750
0.000 0.000 0.000
0.750 0.250 0.500
```

Values from the calculation:
**Total magnetic moment**: 0.00 μB per cell
**DOS at the Fermi energy**: 0.6776 states/eV/atom
**Density**: 8.493 g/cm3
**Total DFT energy (no corrections)**: -4.957 eV/atom

No. 13
The following is a DFT calculation (GGA-PBE) of crystalline Sr2Bi5Rh4 at its relaxed geometry.

The structure in POSCAR format:
```
Sr2Bi5Rh4
1.0
-0.625 -1.971 8.104
-5.026 -4.519 2.829
3.893 -5.264 3.336
Sr Bi Rh
2 5 4
direct
0.237 0.865 0.661
0.763 0.135 0.339
0.244 0.240 0.862
0.756 0.760 0.138
0.000 0.500 0.500
0.654 0.240 0.862
0.346 0.760 0.138
0.328 0.137 0.206
0.672 0.863 0.794
0.808 0.426 0.959
0.192 0.574 0.041
```

Values from the calculation:
**Total magnetic moment**: 0.00 μB per cell
**DOS at the Fermi energy**: 0.6650 states/eV/atom
**Density**: 8.963 g/cm3
**Total DFT energy (no corrections)**: -5.008 eV/atom

No. 14
The following is a DFT calculation (GGA-PBE) of crystalline Sr2Bi5Rh3 at its relaxed geometry.

The structure in POSCAR format:
```
Sr2Bi5Rh3
1.0
-0.118 4.361 1.761
-5.242 2.025 -5.366
-10.221 -5.940 7.744
Sr Bi Rh
4 10 6
direct
0.475 0.757 0.950
0.172 0.732 0.344
0.828 0.232 0.656
0.525 0.257 0.050
0.405 0.381 0.810
0.287 0.513 0.574
0.713 0.013 0.426
0.121 0.258 0.243
0.297 0.932 0.595
0.953 0.090 0.907
0.703 0.432 0.405
0.879 0.758 0.757
0.047 0.590 0.093
0.595 0.881 0.190
0.776 0.716 0.552
0.605 0.517 0.209
0.052 0.969 0.105
0.224 0.216 0.448
0.948 0.469 0.895
0.395 0.017 0.791
```

Values from the calculation:
**Total magnetic moment**: 0.00 μB per cell
**DOS at the Fermi energy**: 0.6713 states/eV/atom
**Density**: 9.969 g/cm3
**Total DFT energy (no corrections)**: -4.916 eV/atom

No. 15
The following is a DFT calculation (GGA-PBE) of crystalline SrBiRh3 at its relaxed geometry.

The structure in POSCAR format:
```
SrBiRh3
1.0
5.033 0.000 0.000
0.000 5.033 0.000
0.000 0.000 5.033
Sr Rh Bi
1 3 1
direct
0.500 0.500 0.500
0.000 0.500 0.000
0.000 0.000 0.500
0.500 0.000 0.000
0.000 0.000 0.000
```

Values from the calculation:
**Total magnetic moment**: 0.00 μB per cell
**DOS at the Fermi energy**: 0.2741 states/eV/atom
**Density**: 7.885 g/cm3
**Total DFT energy (no corrections)**: -5.115 eV/atom

No. 16
The following is a DFT calculation (GGA-PBE) of crystalline SrBi2Rh2 at its relaxed geometry.

The structure in POSCAR format:
```
SrBi2Rh2
1.0
-1.599 0.900 -4.381
1.325 -4.348 -1.377
-5.302 -3.762 -1.412
Sr Rh Bi
1 2 2
direct
0.000 0.000 0.000
0.750 0.250 0.500
0.250 0.750 0.500
0.361 0.361 0.278
0.639 0.639 0.722
```

Values from the calculation:
**Total magnetic moment**: 0.00 μB per cell
**DOS at the Fermi energy**: 0.9261 states/eV/atom
**Density**: 9.120 g/cm3
**Total DFT energy (no corrections)**: -5.206 eV/atom

No. 17
The following is a DFT calculation (GGA-PBE) of crystalline Sr12Bi6Rh at its relaxed geometry.

The structure in POSCAR format:
```
Sr12Bi6Rh
1.0
9.563 -0.016 -0.019
-1.465 9.450 -0.019
-1.465 -1.707 9.295
Sr Bi Rh
12 6 1
direct
0.814 0.568 0.424
0.424 0.814 0.568
0.568 0.424 0.814
0.186 0.432 0.576
0.576 0.186 0.432
0.432 0.576 0.186
0.065 0.969 0.307
0.031 0.693 0.935
0.693 0.935 0.031
0.935 0.031 0.693
0.969 0.307 0.065
0.307 0.065 0.969
0.699 0.872 0.376
0.624 0.301 0.128
0.128 0.624 0.301
0.301 0.128 0.624
0.376 0.699 0.872
0.872 0.376 0.699
0.000 0.000 0.000
```

Values from the calculation:
**Total magnetic moment**: 0.82 μB per cell
**DOS at the Fermi energy**: 0.3858 states/eV/atom
**Density**: 4.766 g/cm3
**Total DFT energy (no corrections)**: -3.367 eV/atom

No. 18
The following is a DFT calculation (GGA-PBE) of crystalline SrBi3Rh3 at its relaxed geometry.

The structure in POSCAR format:
```
SrBi3Rh3
1.0
-2.390 -7.037 0.604
4.737 -1.124 5.648
-5.239 2.194 4.831
Sr Rh Bi
2 6 6
direct
0.500 0.500 0.500
0.000 0.000 0.000
0.000 0.250 0.500
0.000 0.750 0.500
0.500 0.000 0.750
0.750 0.500 0.000
0.500 0.000 0.250
0.250 0.500 0.000
0.250 0.000 0.500
0.000 0.500 0.250
0.500 0.750 0.000
0.750 0.000 0.500
0.000 0.500 0.750
0.500 0.250 0.000
```

Values from the calculation:
**Total magnetic moment**: 0.00 μB per cell
**DOS at the Fermi energy**: 0.9002 states/eV/atom
**Density**: 8.196 g/cm3
**Total DFT energy (no corrections)**: -5.062 eV/atom

No. 19
The following is a DFT calculation (GGA-PBE) of crystalline SrBiRh at its relaxed geometry.

The structure in POSCAR format:
```
SrBiRh
1.0
6.939 0.000 0.000
0.000 6.833 0.418
0.000 -2.622 6.982
Sr Bi Rh
4 4 4
direct
0.142 0.291 0.078
0.358 0.791 0.578
0.858 0.709 0.922
0.642 0.209 0.422
0.632 0.185 0.933
0.368 0.815 0.067
0.132 0.315 0.567
0.868 0.685 0.433
0.592 0.553 0.182
0.408 0.447 0.818
0.908 0.053 0.682
0.092 0.947 0.318
```

Values from the calculation:
**Total magnetic moment**: 0.00 μB per cell
**DOS at the Fermi energy**: 0.2214 states/eV/atom
**Density**: 7.835 g/cm3
**Total DFT energy (no corrections)**: -4.860 eV/atom

No. 20
The following is a DFT calculation (GGA-PBE) of crystalline SrBi2Rh2 at its relaxed geometry.

The structure in POSCAR format:
```
SrBi2Rh2
1.0
-8.052 0.768 -2.113
-1.958 -6.256 5.189
-0.448 2.226 2.515
Sr Rh Bi
2 4 4
direct
0.000 0.000 0.000
0.500 0.500 0.000
0.133 0.633 0.500
0.633 0.867 0.500
0.867 0.367 0.500
0.367 0.133 0.500
0.357 0.857 0.000
0.857 0.643 0.000
0.643 0.143 0.000
0.143 0.357 0.000
```

Values from the calculation:
**Total magnetic moment**: 0.00 μB per cell
**DOS at the Fermi energy**: 0.6097 states/eV/atom
**Density**: 9.977 g/cm3
**Total DFT energy (no corrections)**: -4.966 eV/atom

No. 21
The following is a DFT calculation (GGA-PBE) of crystalline Sr3BiRh at its relaxed geometry.

The structure in POSCAR format:
```
Sr3BiRh
1.0
-1.632 3.895 -1.930
-4.689 -1.017 7.510
6.926 4.733 3.695
Sr Bi Rh
6 2 2
direct
0.080 0.193 0.389
0.411 0.854 0.664
0.633 0.300 0.758
0.964 0.961 0.032
0.262 0.558 0.012
0.782 0.596 0.409
0.417 0.867 0.297
0.627 0.287 0.124
0.242 0.517 0.675
0.802 0.637 0.747
```

Values from the calculation:
**Total magnetic moment**: 0.00 μB per cell
**DOS at the Fermi energy**: 0.4583 states/eV/atom
**Density**: 5.251 g/cm3
**Total DFT energy (no corrections)**: -3.749 eV/atom

No. 22
The following is a DFT calculation (GGA-PBE) of crystalline Sr2Bi2Rh3 at its relaxed geometry.

The structure in POSCAR format:
```
Sr2Bi2Rh3
1.0
4.439 0.000 0.000
-2.219 5.914 -0.105
0.000 -3.244 6.481
Sr Bi Rh
2 2 3
direct
0.862 0.723 0.230
0.138 0.277 0.770
0.849 0.697 0.737
0.151 0.303 0.263
0.500 0.000 0.000
0.586 0.171 0.428
0.414 0.829 0.572
```

Values from the calculation:
**Total magnetic moment**: 0.00 μB per cell
**DOS at the Fermi energy**: 0.8364 states/eV/atom
**Density**: 8.882 g/cm3
**Total DFT energy (no corrections)**: -5.096 eV/atom